Co4PbO8 | PBE+U | optimized geometry Values from VASP.

Calculated values
The calculation puts the calculated total energy at -5.773 eV per atom. The value obtained for the size of the total moment is 0.00 μB per cell. Its crystal system is cubic.

Cell and atoms, written as Quantum ESPRESSO input:
```
&SYSTEM
  ibrav = 0, nat = 13, ntyp = 3
/
ATOMIC_SPECIES
Co 58.93 Co.upf
Pb 207.20 Pb.upf
O 16.00 O.upf
CELL_PARAMETERS angstrom
0.0000 4.1753 4.1753
4.1753 0.0000 4.1753
4.1753 4.1753 0.0000
ATOMIC_POSITIONS crystal
Co 0.3803 0.3803 0.3803
Co 0.3803 0.3803 0.8591
Co 0.3803 0.8591 0.3803
Co 0.8591 0.3803 0.3803
Pb 0.0000 0.0000 0.0000
O 0.1453 0.1453 0.1453
O 0.1453 0.1453 0.5642
O 0.1453 0.5642 0.1453
O 0.1824 0.6059 0.6059
O 0.5642 0.1453 0.1453
O 0.6059 0.1824 0.6059
O 0.6059 0.6059 0.1824
O 0.6059 0.6059 0.6059
```